1.
Here is a relaxed LiAcInIr crystal from the Alexandria database. Energies are from PBE.

Calculated values
- E_form: -31 kJ per mole of atoms
- Volume: 22.40 Å³ per atom
- Space group: F-43m (216)
- Raw total energy: -0.174 Ha/atom

abc: 5.0231 5.0231 5.0231
angles: 60.00 60.00 60.00
With the nearest neighbours (Å) after each atom.
Atoms (fractional coordinates):
Li 0.0000 0.0000 0.0000  4 Ac 3.08, 4 In 3.08
In 0.2500 0.2500 0.2500  4 Li 3.08, 4 Ir 3.08
Ac 0.7500 0.7500 0.7500  4 Li 3.08, 4 Ir 3.08
Ir 0.5000 0.5000 0.5000  4 Ac 3.08, 4 In 3.08

2.
Here is a relaxed Fe2Mo4N crystal from the Alexandria database. Energies are from PBE.

Calculated values
- Volume: 12.94 Å³ per atom
- Space group: Fd-3m (227)
- Formation energy (no corrections): -0.8 eV/f.u.
- Raw total energy: -0.364 Ha/atom

abc: 8.0028 8.0028 8.0028
angles: 60.00 60.00 60.00
With the nearest neighbours (Å) after each atom.
Atoms (fractional coordinates):
Mo 0.3093 0.3093 0.6907  2 N 2.13
Mo 0.5593 0.5593 0.9407  2 N 2.13
Mo 0.1250 0.6250 0.1250  6 Fe 2.45
Mo 0.6907 0.3093 0.3093  2 N 2.13
Mo 0.3093 0.6907 0.6907  2 N 2.13
Mo 0.9407 0.5593 0.9407  2 N 2.13
Mo 0.5593 0.9407 0.5593  2 N 2.13
Mo 0.9407 0.9407 0.5593  2 N 2.13
Mo 0.9407 0.5593 0.5593  2 N 2.13
Mo 0.6250 0.1250 0.1250  6 Fe 2.45
Mo 0.6907 0.6907 0.3093  2 N 2.13
Mo 0.3093 0.6907 0.3093  2 N 2.13
Mo 0.1250 0.1250 0.6250  6 Fe 2.45
Mo 0.6907 0.3093 0.6907  2 N 2.13
Mo 0.5593 0.9407 0.9407  2 N 2.13
Mo 0.1250 0.1250 0.1250  6 Fe 2.45
Fe 0.3328 0.0016 0.3328  6 Mo 2.45-2.69, 3 Fe 2.65
Fe 0.9172 0.2484 0.9172  6 Mo 2.45-2.69, 3 Fe 2.65
Fe 0.9172 0.9172 0.9172  6 Mo 2.45-2.69, 3 Fe 2.65
Fe 0.2484 0.9172 0.9172  6 Mo 2.45-2.69, 3 Fe 2.65
Fe 0.3328 0.3328 0.3328  6 Mo 2.45-2.69, 3 Fe 2.65
Fe 0.9172 0.9172 0.2484  6 Mo 2.45-2.69, 3 Fe 2.65
Fe 0.0016 0.3328 0.3328  6 Mo 2.45-2.69, 3 Fe 2.65
Fe 0.3328 0.3328 0.0016  6 Mo 2.45-2.69, 3 Fe 2.65
N 0.6250 0.6250 0.6250  6 Mo 2.13
N 0.1250 0.6250 0.6250  6 Mo 2.13
N 0.6250 0.1250 0.6250  6 Mo 2.13
N 0.6250 0.6250 0.1250  6 Mo 2.13

3.
Here is a relaxed MgAlAg crystal from the Alexandria database. Energies are from PBE.

Calculated values
- E_form: -7 kJ per mole of atoms
- Volume: 18.31 Å³ per atom
- Space group: I4mm (107)
- Raw total energy: -0.103 Ha/atom

abc: 6.1505 6.1505 6.1505
angles: 150.90 150.90 41.63
With the nearest neighbours (Å) after each atom.
Atoms (fractional coordinates):
Mg 0.6629 0.6629 0.0000  4 Ag 2.93, 4 Al 3.02, 4 Mg 3.09
Ag 0.9935 0.9935 0.0000  4 Al 2.78, 4 Mg 2.93, 4 Ag 3.09
Al 0.3436 0.3436 0.0000  4 Ag 2.78, 4 Mg 3.02, 4 Al 3.09